4
Lattice="11.101 0.077 7.469 10.997 -3.445 6.800 12.556 -1.220 4.459" Properties=species:S:1:pos:R:3 comment="GGA-PBE CsSrSc2, optimized geometry" de_polymorph_mev_per_atom=0.0 vol_a3_per_atom=36.81 e_tot_ev_per_atom=-3.16 formation_enthalpy_0k_ev_per_atom=0.64 n_ef_per_ev_fu=6.72 rho_g_cm3=3.50 m_tot_mub_per_cell=0.8 pbc="T T T"
Cs 0.000 0.000 0.000
Sc 31.572 -4.180 17.062
Sc 3.082 -0.408 1.665
Sr 17.327 -2.294 9.364